[1]
Crystalline Ca2In5Hg at its relaxed geometry. Source: Alexandria via LeMat-Bulk, functional GGA-PBE.

Calculated values
E_form: -31 kJ/mol of atoms

Cell lengths 6.6107, 13.2757, 4.7691 Å; angles 90.00, 90.00, 90.00 degrees
With the nearest neighbours (Å) after each atom.
Positions (direct):
Ca: 0.2407 0.1223 0.0000  2 Hg 3.29, 10 In 3.30-3.36
Ca: 0.2593 0.6223 0.0000  2 Hg 3.29, 10 In 3.30-3.36
Ca: 0.7407 0.3777 0.0000  2 Hg 3.29, 10 In 3.30-3.36
Ca: 0.7593 0.8777 0.0000  2 Hg 3.29, 10 In 3.30-3.36
In: 0.0000 0.5000 0.5000  2 Hg 3.31, 6 In 3.33, 4 Ca 3.36
In: 0.0111 0.7508 0.5000  7 In 3.31-3.34, 1 Hg 3.31, 4 Ca 3.36
In: 0.2405 0.3724 0.0000  4 Ca 3.30-3.32, 6 In 3.32-3.34, 2 Hg 3.39
In: 0.2595 0.8724 0.0000  4 Ca 3.30-3.32, 6 In 3.32-3.34, 2 Hg 3.39
In: 0.4889 0.2508 0.5000  7 In 3.31-3.34, 1 Hg 3.31, 4 Ca 3.36
In: 0.5000 0.0000 0.5000  2 Hg 3.31, 6 In 3.33, 4 Ca 3.36
In: 0.5111 0.7492 0.5000  7 In 3.31-3.34, 1 Hg 3.31, 4 Ca 3.36
In: 0.7405 0.1276 0.0000  4 Ca 3.30-3.32, 6 In 3.32-3.34, 2 Hg 3.39
In: 0.7595 0.6276 0.0000  4 Ca 3.30-3.32, 6 In 3.32-3.34, 2 Hg 3.39
In: 0.9889 0.2492 0.5000  7 In 3.31-3.34, 1 Hg 3.31, 4 Ca 3.36
Hg: 0.0000 0.0000 0.5000  4 Ca 3.29, 8 In 3.31-3.39
Hg: 0.5000 0.5000 0.5000  4 Ca 3.29, 8 In 3.31-3.39

[2]
Crystalline BeCl2 at its relaxed geometry. Source: Alexandria via LeMat-Bulk, functional GGA-PBE.

Calculated values
energy relative to the elements, uncorrected: 0.713 eV/atom

Cell lengths 5.6497, 5.6497, 2.4109 Å; angles 90.00, 90.00, 120.00 degrees
With the nearest neighbours (Å) after each atom.
Positions (direct):
Be: 0.0000 0.0000 0.0000  2 Be 2.41
Cl: 0.3333 0.6667 0.5000  2 Cl 2.41
Cl: 0.6667 0.3333 0.5000  2 Cl 2.41

[3]
Crystalline LiMn2Pb at its relaxed geometry. Source: Alexandria via LeMat-Bulk, functional GGA-PBE.

Calculated values
E_form: 58 kJ/mol of atoms

Cell lengths 3.4447, 5.0299, 9.2229 Å; angles 90.00, 90.00, 90.00 degrees
With the nearest neighbours (Å) after each atom.
Positions (direct):
Li: 0.0000 0.0000 0.0000  4 Mn 2.77, 4 Li 3.05
Li: 0.5000 0.5000 0.0000  4 Mn 2.77, 4 Li 3.05
Mn: 0.0000 0.5000 0.2350  2 Li 2.77, 2 Pb 2.99, 4 Mn 3.05
Mn: 0.0000 0.5000 0.7650  2 Li 2.77, 2 Pb 2.99, 4 Mn 3.05
Mn: 0.5000 0.0000 0.2350  2 Li 2.77, 2 Pb 2.99, 4 Mn 3.05
Mn: 0.5000 0.0000 0.7650  2 Li 2.77, 2 Pb 2.99, 4 Mn 3.05
Pb: 0.0000 0.0000 0.5000  4 Mn 2.99, 4 Pb 3.05
Pb: 0.5000 0.5000 0.5000  4 Mn 2.99, 4 Pb 3.05

[4]
Crystalline LaAl9Ni2 at its relaxed geometry. Source: Alexandria via LeMat-Bulk, functional GGA-PBE.

Calculated values
E_form: -38 kJ/mol of atoms

Cell lengths 8.2763, 8.2763, 8.2763 Å; angles 100.51, 100.51, 129.44 degrees
With the nearest neighbours (Å) after each atom.
Positions (direct):
La: 0.3750 0.6250 0.7500  18 Al 3.33-3.53
La: 0.6250 0.3750 0.2500  18 Al 3.33-3.53
Al: 0.1250 0.8750 0.2500  4 Ni 2.79, 8 Al 2.80
Al: 0.1382 0.5660 0.3260  2 Ni 2.54-2.61, 6 Al 2.61-2.82
Al: 0.1382 0.8121 0.5722  2 Ni 2.54-2.61, 6 Al 2.61-2.82
Al: 0.1879 0.2600 0.3260  2 Ni 2.54-2.61, 6 Al 2.61-2.82
Al: 0.1879 0.8618 0.9278  2 Ni 2.54-2.61, 6 Al 2.61-2.82
Al: 0.2600 0.1879 0.8260  2 Ni 2.54-2.61, 6 Al 2.61-2.82
Al: 0.2600 0.4340 0.0722  2 Ni 2.54-2.61, 6 Al 2.61-2.82
Al: 0.4340 0.2600 0.5722  2 Ni 2.54-2.61, 6 Al 2.61-2.82
Al: 0.4340 0.8618 0.1740  2 Ni 2.54-2.61, 6 Al 2.61-2.82
Al: 0.5660 0.1382 0.8260  2 Ni 2.54-2.61, 6 Al 2.61-2.82
Al: 0.5660 0.7400 0.4278  2 Ni 2.54-2.61, 6 Al 2.61-2.82
Al: 0.7400 0.5660 0.9278  2 Ni 2.54-2.61, 6 Al 2.61-2.82
Al: 0.7400 0.8121 0.1740  2 Ni 2.54-2.61, 6 Al 2.61-2.82
Al: 0.8121 0.1382 0.0722  2 Ni 2.54-2.61, 6 Al 2.61-2.82
Al: 0.8121 0.7400 0.6740  2 Ni 2.54-2.61, 6 Al 2.61-2.82
Al: 0.8618 0.1879 0.4278  2 Ni 2.54-2.61, 6 Al 2.61-2.82
Al: 0.8618 0.4340 0.6740  2 Ni 2.54-2.61, 6 Al 2.61-2.82
Al: 0.8750 0.1250 0.7500  4 Ni 2.79, 8 Al 2.80
Ni: 0.0000 0.0000 0.0000  10 Al 2.54-2.79
Ni: 0.0000 0.0000 0.5000  10 Al 2.54-2.79
Ni: 0.0000 0.5000 0.0000  10 Al 2.54-2.79
Ni: 0.5000 0.0000 0.5000  10 Al 2.54-2.79